*one*
Density functional theory data (PBEsol) for an optimized crystal structure of Mg2ZnCd.

Cell lengths 3.1273, 3.1273, 27.9157 Å; angles 90.00, 90.00, 120.00 degrees
Space group R-3m (No. 166, hexagonal axes)
Unique sites:
Mg1 0.0000 0.0000 0.2451 [6 per cell]
Zn1 0.0000 0.0000 0.5000 [3 per cell]
Cd1 0.0000 0.0000 0.0000 [3 per cell]

## Properties
Calculated density in g/cm³: 4.77


*two*
Density functional theory data (PBEsol) for an optimized crystal structure of Mg2ZnCd.

Cell lengths 3.167, 4.529, 5.593 Å; angles 90.00, 104.95, 90.00 degrees
Space group Pm (No. 6)
Unique sites:
Mg1 0.000 0.000 0.000 [1 per cell]
Mg2 0.316 0.500 0.663 [1 per cell]
Zn1 0.584 0.500 0.180 [1 per cell]
Cd1 0.722 0.000 0.466 [1 per cell]

## Properties
Calculated density in g/cm³: 4.85


*three*
Density functional theory data (PBEsol) for an optimized crystal structure of Mg2ZnCd.

Cell lengths 6.566, 6.968, 3.335 Å; angles 90.00, 90.00, 90.00 degrees
Space group Cmmm (No. 65)
Unique sites:
Mg1 0.250 0.250 0.000 [4 per cell]
Zn1 0.000 0.000 0.500 [2 per cell]
Cd1 0.000 0.500 0.500 [2 per cell]

## Properties
Calculated density in g/cm³: 4.93


Top of the stability list: *two*, leading by 0.011 eV/atom.


*one*
Density functional theory data (PBEsol) for an optimized crystal structure of MnCd2Mo.

Cell lengths 3.047, 4.537, 9.584 Å; angles 90.00, 90.00, 90.00 degrees
Space group Immm (No. 71)
Unique sites:
Mn1 0.000 0.000 0.000 [2 per cell]
Cd1 0.000 0.500 0.262 [4 per cell]
Mo1 0.000 0.000 0.500 [2 per cell]

## Properties
Calculated density in g/cm³: 9.42


*two*
Density functional theory data (PBEsol) for an optimized crystal structure of MnCd2Mo.

Cell lengths 3.902, 3.902, 8.717 Å; angles 90.00, 90.00, 90.00 degrees
Space group I4/mmm (No. 139)
Unique sites:
Mn1 0.000 0.000 0.000 [2 per cell]
Cd1 0.000 0.500 0.250 [4 per cell]
Mo1 0.000 0.000 0.500 [2 per cell]

## Properties
Calculated density in g/cm³: 9.40


Top of the stability list: *one*, leading by 0.017 eV/atom.


*one*
Density functional theory data (PBEsol) for an optimized crystal structure of MnCd4O5.

Cell lengths 3.2767, 3.2767, 40.4235 Å; angles 90.00, 90.00, 120.00 degrees
Space group R-3m (No. 166, hexagonal axes)
Unique sites:
Mn1 0.0000 0.0000 0.0000 [3 per cell]
Cd1 0.0000 0.0000 0.2008 [6 per cell]
Cd2 0.0000 0.0000 0.3975 [6 per cell]
O1 0.0000 0.0000 0.0976 [6 per cell]
O2 0.0000 0.0000 0.3059 [6 per cell]
O3 0.0000 0.0000 0.5000 [3 per cell]

## Properties
Calculated density in g/cm³: 7.75


*two*
Density functional theory data (PBEsol) for an optimized crystal structure of MnCd4O5.

Cell lengths 14.451, 3.252, 10.941 Å; angles 90.00, 102.37, 90.00 degrees
Space group C2/m (No. 12)
Unique sites:
Mn1 0.101 0.000 0.299 [4 per cell]
Cd1 0.000 0.000 0.000 [2 per cell]
Cd2 0.000 0.500 0.500 [2 per cell]
Cd3 0.100 0.500 0.798 [4 per cell]
Cd4 0.197 0.000 0.594 [4 per cell]
Cd5 0.201 0.500 0.104 [4 per cell]
O1 0.046 0.000 0.650 [4 per cell]
O2 0.057 0.500 0.170 [4 per cell]
O3 0.145 0.500 0.429 [4 per cell]
O4 0.147 0.000 0.953 [4 per cell]
O5 0.247 0.000 0.257 [4 per cell]

## Properties
Calculated density in g/cm³: 7.73


Top of the stability list: *one*, leading by 0.006 eV/atom.


*one*
Density functional theory data (PBEsol) for an optimized crystal structure of Mn2CdP.

Cell lengths 2.814, 3.063, 13.335 Å; angles 90.00, 90.00, 90.00 degrees
Space group Imm2 (No. 44)
Unique sites:
Mn1 0.000 0.000 0.000 [2 per cell]
Mn2 0.000 0.500 0.320 [2 per cell]
Cd1 0.000 0.000 0.644 [2 per cell]
P1 0.000 0.500 0.877 [2 per cell]

## Properties
Calculated density in g/cm³: 7.32


*two*
Density functional theory data (PBEsol) for an optimized crystal structure of Mn2CdP.

Cell lengths 2.790, 2.790, 6.610 Å; angles 90.00, 90.00, 90.00 degrees
Space group P4/mmm (No. 123)
Unique sites:
Mn1 0.000 0.000 0.186 [2 per cell]
Cd1 0.500 0.500 0.500 [1 per cell]
P1 0.500 0.500 0.000 [1 per cell]

## Properties
Calculated density in g/cm³: 8.17


Top of the stability list: *two*, leading by 0.059 eV/atom.


*one*
Density functional theory data (PBEsol) for an optimized crystal structure of TaMnCd2.

Cell lengths 6.526, 6.526, 6.526 Å; angles 90.00, 90.00, 90.00 degrees
Space group Fm-3m (No. 225)
Unique sites:
Ta1 0.000 0.000 0.000 [4 per cell]
Mn1 0.000 0.000 0.500 [4 per cell]
Cd1 0.250 0.250 0.250 [8 per cell]

## Properties
Calculated density in g/cm³: 11.01


*two*
Density functional theory data (PBEsol) for an optimized crystal structure of TaMnCd2.

Cell lengths 3.713, 4.285, 8.736 Å; angles 90.00, 90.00, 90.00 degrees
Space group Cmm2 (No. 35)
Unique sites:
Ta1 0.000 0.000 0.000 [2 per cell]
Mn1 0.000 0.500 0.784 [2 per cell]
Cd1 0.000 0.000 0.546 [2 per cell]
Cd2 0.000 0.500 0.267 [2 per cell]

## Properties
Calculated density in g/cm³: 11.01


Top of the stability list: *two*, leading by 0.354 eV/atom.


*one*
Density functional theory data (PBEsol) for an optimized crystal structure of Mn2CdTe.

Cell lengths 4.311, 4.311, 3.783 Å; angles 90.00, 90.00, 90.00 degrees
Space group P4/mmm (No. 123)
Unique sites:
Mn1 0.000 0.500 0.000 [2 per cell]
Cd1 0.000 0.000 0.500 [1 per cell]
Te1 0.500 0.500 0.500 [1 per cell]

## Properties
Calculated density in g/cm³: 8.26


*two*
Density functional theory data (PBEsol) for an optimized crystal structure of Mn2CdTe.

Cell lengths 6.755, 6.755, 6.755 Å; angles 90.00, 90.00, 90.00 degrees
Space group F-43m (No. 216)
Unique sites:
Mn1 0.000 0.000 0.000 [4 per cell]
Mn2 0.250 0.250 0.250 [4 per cell]
Cd1 0.000 0.000 0.500 [4 per cell]
Te1 0.250 0.250 0.750 [4 per cell]

## Properties
Calculated density in g/cm³: 7.54


Top of the stability list: *one*, leading by 0.312 eV/atom.


*one*
Density functional theory data (PBEsol) for an optimized crystal structure of Y2MnCd.

Cell lengths 5.090, 5.090, 7.148 Å; angles 90.00, 90.00, 90.00 degrees
Space group I4/mmm (No. 139)
Unique sites:
Y1 0.000 0.500 0.250 [4 per cell]
Mn1 0.000 0.000 0.000 [2 per cell]
Cd1 0.000 0.000 0.500 [2 per cell]

## Properties
Calculated density in g/cm³: 6.19


*two*
Density functional theory data (PBEsol) for an optimized crystal structure of Y2MnCd.

Cell lengths 7.024, 7.024, 7.024 Å; angles 90.00, 90.00, 90.00 degrees
Space group F-43m (No. 216)
Unique sites:
Y1 0.000 0.000 0.000 [4 per cell]
Y2 0.250 0.250 0.250 [4 per cell]
Mn1 0.000 0.000 0.500 [4 per cell]
Cd1 0.250 0.250 0.750 [4 per cell]

## Properties
Calculated density in g/cm³: 6.62


Top of the stability list: *one*, leading by 0.158 eV/atom.


*one*
Density functional theory data (PBEsol) for an optimized crystal structure of Mn2ZnCd.

Cell lengths 2.779, 4.013, 5.534 Å; angles 90.00, 101.51, 90.00 degrees
Space group Pm (No. 6)
Unique sites:
Mn1 0.000 0.000 0.000 [1 per cell]
Mn2 0.394 0.500 0.742 [1 per cell]
Zn1 0.565 0.500 0.195 [1 per cell]
Cd1 0.795 0.000 0.498 [1 per cell]

## Properties
Calculated density in g/cm³: 7.90


*two*
Density functional theory data (PBEsol) for an optimized crystal structure of Mn2ZnCd.

Cell lengths 3.852, 3.852, 8.029 Å; angles 90.00, 90.00, 90.00 degrees
Space group I-4m2 (No. 119)
Unique sites:
Mn1 0.000 0.000 0.000 [2 per cell]
Mn2 0.000 0.500 0.250 [2 per cell]
Zn1 0.000 0.000 0.500 [2 per cell]
Cd1 0.000 0.500 0.750 [2 per cell]

## Properties
Calculated density in g/cm³: 8.02


Top of the stability list: *one*, leading by 0.024 eV/atom.


*one*
Density functional theory data (PBEsol) for an optimized crystal structure of CdMo2Pb.

Cell lengths 3.269, 4.916, 9.894 Å; angles 90.00, 90.00, 90.00 degrees
Space group Cmm2 (No. 35)
Unique sites:
Cd1 0.000 0.000 0.000 [2 per cell]
Mo1 0.000 0.000 0.568 [2 per cell]
Mo2 0.000 0.500 0.758 [2 per cell]
Pb1 0.000 0.500 0.308 [2 per cell]

## Properties
Calculated density in g/cm³: 10.68


*two*
Density functional theory data (PBEsol) for an optimized crystal structure of CdMo2Pb.

Cell lengths 3.349, 4.690, 9.282 Å; angles 90.00, 90.00, 90.00 degrees
Space group Immm (No. 71)
Unique sites:
Cd1 0.000 0.000 0.000 [2 per cell]
Mo1 0.000 0.500 0.246 [4 per cell]
Pb1 0.000 0.000 0.500 [2 per cell]

## Properties
Calculated density in g/cm³: 11.65


Top of the stability list: *one*, leading by 0.270 eV/atom.


*one*
Density functional theory data (PBEsol) for an optimized crystal structure of Cd2ReMo.

Cell lengths 3.213, 4.786, 9.072 Å; angles 90.00, 90.00, 90.00 degrees
Space group Imm2 (No. 44)
Unique sites:
Cd1 0.000 0.000 0.000 [2 per cell]
Cd2 0.000 0.500 0.236 [2 per cell]
Re1 0.000 0.000 0.470 [2 per cell]
Mo1 0.000 0.500 0.769 [2 per cell]

## Properties
Calculated density in g/cm³: 12.07


*two*
Density functional theory data (PBEsol) for an optimized crystal structure of Cd2ReMo.

Cell lengths 2.8821, 2.8821, 28.8526 Å; angles 90.00, 90.00, 120.00 degrees
Space group R3m (No. 160, hexagonal axes)
Unique sites:
Cd1 0.0000 0.0000 0.0000 [3 per cell]
Cd2 0.0000 0.0000 0.2400 [3 per cell]
Re1 0.0000 0.0000 0.4884 [3 per cell]
Mo1 0.0000 0.0000 0.7531 [3 per cell]

## Properties
Calculated density in g/cm³: 12.17


Top of the stability list: *two*, leading by 0.228 eV/atom.


*one*
Density functional theory data (PBEsol) for an optimized crystal structure of Cd2MoSe.

Cell lengths 6.647, 6.647, 6.647 Å; angles 90.00, 90.00, 90.00 degrees
Space group F-43m (No. 216)
Unique sites:
Cd1 0.000 0.000 0.000 [4 per cell]
Cd2 0.250 0.250 0.250 [4 per cell]
Mo1 0.250 0.250 0.750 [4 per cell]
Se1 0.000 0.000 0.500 [4 per cell]

## Properties
Calculated density in g/cm³: 9.04


*two*
Density functional theory data (PBEsol) for an optimized crystal structure of Cd2MoSe.

Cell lengths 6.844, 6.844, 6.844 Å; angles 90.00, 90.00, 90.00 degrees
Space group Fm-3m (No. 225)
Unique sites:
Cd1 0.250 0.250 0.250 [8 per cell]
Mo1 0.000 0.000 0.000 [4 per cell]
Se1 0.000 0.000 0.500 [4 per cell]

## Properties
Calculated density in g/cm³: 8.28


Top of the stability list: *one*, leading by 0.241 eV/atom.


*one*
Density functional theory data (PBEsol) for an optimized crystal structure of Cd2MoSe.

Cell lengths 4.346, 3.198, 10.857 Å; angles 90.00, 90.00, 90.00 degrees
Space group Amm2 (No. 38)
Unique sites:
Cd1 0.000 0.000 0.000 [2 per cell]
Cd2 0.500 0.000 0.357 [2 per cell]
Mo1 0.000 0.000 0.738 [2 per cell]
Se1 0.500 0.000 0.630 [2 per cell]

## Properties
Calculated density in g/cm³: 8.80


*two*
Density functional theory data (PBEsol) for an optimized crystal structure of Cd2MoSe.

Cell lengths 3.149, 4.510, 5.124 Å; angles 90.00, 90.00, 90.00 degrees
Space group Pmmm (No. 47)
Unique sites:
Cd1 0.000 0.000 0.000 [1 per cell]
Cd2 0.500 0.500 0.000 [1 per cell]
Mo1 0.000 0.500 0.500 [1 per cell]
Se1 0.500 0.000 0.500 [1 per cell]

## Properties
Calculated density in g/cm³: 9.12


*three*
Density functional theory data (PBEsol) for an optimized crystal structure of Cd2MoSe.

Cell lengths 3.816, 3.816, 9.976 Å; angles 90.00, 90.00, 90.00 degrees
Space group I4/mmm (No. 139)
Unique sites:
Cd1 0.000 0.500 0.250 [4 per cell]
Mo1 0.000 0.000 0.000 [2 per cell]
Se1 0.000 0.000 0.500 [2 per cell]

## Properties
Calculated density in g/cm³: 9.14


Top of the stability list: *one*, leading by 0.185 eV/atom.


*one*
Density functional theory data (PBEsol) for an optimized crystal structure of SrCd2Mo.

Cell lengths 5.660, 2.870, 5.870 Å; angles 90.00, 114.66, 90.00 degrees
Space group P2/m (No. 10)
Unique sites:
Sr1 0.000 0.000 0.000 [1 per cell]
Cd1 0.500 0.000 0.500 [1 per cell]
Cd2 0.500 0.500 0.000 [1 per cell]
Mo1 0.000 0.500 0.500 [1 per cell]

## Properties
Calculated density in g/cm³: 7.83


*two*
Density functional theory data (PBEsol) for an optimized crystal structure of SrCd2Mo.

Cell lengths 3.0523, 3.0523, 31.4946 Å; angles 90.00, 90.00, 120.00 degrees
Space group R-3m (No. 166, hexagonal axes)
Unique sites:
Sr1 0.0000 0.0000 0.0000 [3 per cell]
Cd1 0.0000 0.0000 0.2410 [6 per cell]
Mo1 0.0000 0.0000 0.5000 [3 per cell]

## Properties
Calculated density in g/cm³: 8.01


*three*
Density functional theory data (PBEsol) for an optimized crystal structure of SrCd2Mo.

Cell lengths 6.573, 8.517, 3.016 Å; angles 90.00, 90.00, 90.00 degrees
Space group Cmmm (No. 65)
Unique sites:
Sr1 0.000 0.000 0.000 [2 per cell]
Cd1 0.250 0.250 0.500 [4 per cell]
Mo1 0.000 0.500 0.000 [2 per cell]

## Properties
Calculated density in g/cm³: 8.03


Top of the stability list: *three*, leading by 0.094 eV/atom.